NaGaMoOs2 (GGA-PBE, optimized geometry); energy = -5.84 eV/atom; total magnetization = 1.779 μB/cell; N(E_F) = 4.56 states/eV/f.u.; calculated formation energy = 1689.4 meV per atom
1.0
4.5840 0.0000 0.0000
0.0000 4.5840 0.0000
0.0000 0.0000 4.4101
Na Ga Mo Os
1 1 1 2
Direct
0.0000 0.0000 0.0000 Na
0.0000 0.0000 0.5000 Ga
0.5000 0.5000 0.0000 Mo
0.0000 0.5000 0.5000 Os
0.5000 0.0000 0.5000 Os

---

NaGaMo2Rh (GGA-PBE, optimized geometry); energy = -5.07 eV/atom; total magnetization = 1.790 μB/cell; N(E_F) = 6.50 states/eV/f.u.; calculated formation energy = 1603.7 meV per atom
1.0
4.6706 0.0000 0.0000
0.0000 4.6706 0.0000
0.0000 0.0000 4.5885
Na Ga Mo Rh
1 1 2 1
Direct
0.0000 0.0000 0.0000 Na
0.0000 0.0000 0.5000 Ga
0.0000 0.5000 0.5000 Mo
0.5000 0.0000 0.5000 Mo
0.5000 0.5000 0.0000 Rh

---

NaV2GaMo (GGA-PBE, optimized geometry); energy = -5.78 eV/atom; total magnetization = 3.258 μB/cell; N(E_F) = 5.91 states/eV/f.u.; calculated formation energy = 902.0 meV per atom
1.0
4.6730 0.0000 0.0000
0.0000 4.6730 0.0000
0.0000 0.0000 5.0889
Na V Ga Mo
1 2 1 1
Direct
0.0000 0.0000 0.0000 Na
0.0000 0.5000 0.5000 V
0.5000 0.0000 0.5000 V
0.5000 0.5000 0.0000 Ga
0.5000 0.5000 0.5000 Mo

---

Nb6GaMo (GGA-PBE, optimized geometry); energy = -9.35 eV/atom; total magnetization = 0.000 μB/cell; energy above the most stable polymorph in this dataset = 69 meV per atom; N(E_F) = 9.24 states/eV/f.u.; calculated formation energy = -68.2 meV per atom
1.0
-2.3340 2.3340 6.4924
2.3340 -2.3340 6.4924
2.3340 2.3340 -6.4924
Nb Ga Mo
6 1 1
Direct
0.1240 0.6240 0.5000 Nb
0.2486 0.2486 0.0000 Nb
0.3760 0.8760 0.5000 Nb
0.6240 0.1240 0.5000 Nb
0.7514 0.7514 0.0000 Nb
0.8760 0.3760 0.5000 Nb
0.0000 0.0000 0.0000 Ga
0.5000 0.5000 0.0000 Mo

---

Nb2Ga2Mo (GGA-PBE, optimized geometry); energy = -7.21 eV/atom; total magnetization = 0.000 μB/cell; energy above the most stable polymorph in this dataset = 476 meV per atom; N(E_F) = 4.48 states/eV/f.u.; calculated formation energy = 198.2 meV per atom
1.0
-1.7200 1.7200 7.4963
1.7200 -1.7200 7.4963
1.7200 1.7200 -7.4963
Nb Ga Mo
2 2 1
Direct
0.0972 0.0972 0.0000 Nb
0.9028 0.9028 0.0000 Nb
0.2500 0.7500 0.5000 Ga
0.7500 0.2500 0.5000 Ga
0.5000 0.5000 0.0000 Mo

---

Nb6Ga10Mo (GGA-PBE, optimized geometry); energy = -6.06 eV/atom; total magnetization = 0.000 μB/cell; N(E_F) = 12.50 states/eV/f.u.; calculated formation energy = -89.7 meV per atom
1.0
7.9307 0.0000 0.0000
-3.9653 6.8681 0.0000
0.0000 0.0000 5.2886
Nb Ga Mo
6 10 1
Direct
0.0000 0.3864 0.2860 Nb
0.0000 0.6136 0.7140 Nb
0.3864 0.0000 0.2860 Nb
0.3864 0.3864 0.7140 Nb
0.6136 0.0000 0.7140 Nb
0.6136 0.6136 0.2860 Nb
0.0000 0.2574 0.8019 Ga
0.0000 0.7426 0.1981 Ga
0.2574 0.0000 0.8019 Ga
0.2574 0.2574 0.1981 Ga
0.3333 0.6667 0.0000 Ga
0.3333 0.6667 0.5000 Ga
0.6667 0.3333 0.0000 Ga
0.6667 0.3333 0.5000 Ga
0.7426 0.0000 0.1981 Ga
0.7426 0.7426 0.8019 Ga
0.0000 0.0000 0.5000 Mo

---

Nb3GaMo (GGA-PBE, optimized geometry); energy = -7.49 eV/atom; total magnetization = 0.000 μB/cell; energy above the most stable polymorph in this dataset = 1486 meV per atom; N(E_F) = 6.72 states/eV/f.u.; calculated formation energy = 1324.2 meV per atom
1.0
4.6973 0.0000 0.0000
0.0000 4.6973 0.0000
0.0000 0.0000 4.6973
Nb Ga Mo
3 1 1
Direct
0.0000 0.0000 0.5000 Nb
0.0000 0.5000 0.0000 Nb
0.5000 0.0000 0.0000 Nb
0.0000 0.0000 0.0000 Ga
0.5000 0.5000 0.5000 Mo

---

Nb14GaMo (GGA-PBE, optimized geometry); energy = -9.74 eV/atom; total magnetization = 0.000 μB/cell; N(E_F) = 19.04 states/eV/f.u.; calculated formation energy = -62.3 meV per atom
1.0
6.5913 0.0000 0.0000
0.0000 6.5913 0.0000
0.0000 0.0000 6.6266
Nb Ga Mo
14 1 1
Direct
0.0000 0.0000 0.0000 Nb
0.0000 0.5000 0.0000 Nb
0.0000 0.5000 0.5000 Nb
0.2463 0.2463 0.2518 Nb
0.2463 0.2463 0.7482 Nb
0.2463 0.7537 0.2518 Nb
0.2463 0.7537 0.7482 Nb
0.5000 0.0000 0.0000 Nb
0.5000 0.0000 0.5000 Nb
0.5000 0.5000 0.0000 Nb
0.7537 0.2463 0.2518 Nb
0.7537 0.2463 0.7482 Nb
0.7537 0.7537 0.2518 Nb
0.7537 0.7537 0.7482 Nb
0.5000 0.5000 0.5000 Ga
0.0000 0.0000 0.5000 Mo

---

Nb2GaMo2 (GGA-PBE, optimized geometry); energy = -8.41 eV/atom; total magnetization = 0.000 μB/cell; energy above the most stable polymorph in this dataset = 88 meV per atom; N(E_F) = 5.73 states/eV/f.u.; calculated formation energy = 553.6 meV per atom
1.0
-1.8195 1.8195 6.9456
1.8195 -1.8195 6.9456
1.8195 1.8195 -6.9456
Nb Ga Mo
2 1 2
Direct
0.0913 0.0913 0.0000 Nb
0.9087 0.9087 0.0000 Nb
0.5000 0.5000 0.0000 Ga
0.2500 0.7500 0.5000 Mo
0.7500 0.2500 0.5000 Mo

---

Nb6Ga2Mo (GGA-PBE, optimized geometry); energy = -8.65 eV/atom; total magnetization = 0.000 μB/cell; N(E_F) = 7.70 states/eV/f.u.; calculated formation energy = -57.2 meV per atom
1.0
8.4634 0.0000 0.0000
0.0000 8.4697 0.0000
0.0000 0.0000 4.4058
Nb Ga Mo
12 4 2
Direct
0.0354 0.1830 0.0000 Nb
0.1244 0.6804 0.5000 Nb
0.1748 0.0228 0.5000 Nb
0.3252 0.5228 0.0000 Nb
0.3756 0.1804 0.0000 Nb
0.4646 0.6830 0.5000 Nb
0.5354 0.3170 0.5000 Nb
0.6244 0.8196 0.0000 Nb
0.6748 0.4772 0.0000 Nb
0.8252 0.9772 0.5000 Nb
0.8756 0.3196 0.5000 Nb
0.9646 0.8170 0.0000 Nb
0.2008 0.3528 0.5000 Ga
0.2992 0.8528 0.0000 Ga
0.7008 0.1472 0.0000 Ga
0.7992 0.6472 0.5000 Ga
0.0000 0.5000 0.0000 Mo
0.5000 0.0000 0.5000 Mo

---

Nb3Ga4Mo (GGA-PBE, optimized geometry); energy = -6.59 eV/atom; total magnetization = 0.000 μB/cell; N(E_F) = 5.45 states/eV/f.u.; calculated formation energy = 56.0 meV per atom
1.0
4.9431 0.0000 0.0000
0.0000 5.4842 0.0000
0.0000 0.0000 10.3902
Nb Ga Mo
6 8 2
Direct
0.2500 0.0039 0.1989 Nb
0.2500 0.4961 0.1989 Nb
0.2500 0.7500 0.6937 Nb
0.7500 0.2500 0.3063 Nb
0.7500 0.5039 0.8011 Nb
0.7500 0.9961 0.8011 Nb
0.2500 0.0010 0.9341 Ga
0.2500 0.2500 0.4432 Ga
0.2500 0.4990 0.9341 Ga
0.2500 0.7500 0.4305 Ga
0.7500 0.2500 0.5695 Ga
0.7500 0.5010 0.0659 Ga
0.7500 0.7500 0.5568 Ga
0.7500 0.9990 0.0659 Ga
0.2500 0.2500 0.7018 Mo
0.7500 0.7500 0.2982 Mo

---

NbGa3Mo (GGA-PBE, optimized geometry); energy = -5.09 eV/atom; total magnetization = 0.001 μB/cell; energy above the most stable polymorph in this dataset = 810 meV per atom; N(E_F) = 9.06 states/eV/f.u.; calculated formation energy = 908.8 meV per atom
1.0
4.7303 0.0000 0.0000
0.0000 4.7303 0.0000
0.0000 0.0000 4.7303
Nb Ga Mo
1 3 1
Direct
0.0000 0.0000 0.0000 Nb
0.0000 0.5000 0.5000 Ga
0.5000 0.0000 0.5000 Ga
0.5000 0.5000 0.0000 Ga
0.5000 0.5000 0.5000 Mo

---

Nb6GaMo (GGA-PBE, optimized geometry); energy = -9.42 eV/atom; total magnetization = 0.000 μB/cell; energy above the most stable polymorph in this dataset = 0 meV per atom; N(E_F) = 6.14 states/eV/f.u.; calculated formation energy = -137.3 meV per atom
1.0
5.2131 0.0000 0.0000
-0.0005 5.2136 0.0000
-0.0065 -0.0025 5.2156
Nb Ga Mo
6 1 1
Direct
0.9998 0.0003 0.2459 Nb
0.0002 0.9997 0.7541 Nb
0.2546 0.5011 0.0003 Nb
0.4997 0.2458 0.5003 Nb
0.5003 0.7542 0.4997 Nb
0.7454 0.4989 0.9997 Nb
0.0000 0.5000 0.5000 Ga
0.5000 0.0000 0.0000 Mo

---

Nb2Ga2Mo (GGA-PBE, optimized geometry); energy = -7.68 eV/atom; total magnetization = 0.000 μB/cell; energy above the most stable polymorph in this dataset = 0 meV per atom; N(E_F) = 0.85 states/eV/f.u.; calculated formation energy = -277.9 meV per atom
1.0
6.8073 0.0000 0.0000
0.0000 6.8073 0.0000
0.0000 0.0000 3.5516
Nb Ga Mo
4 4 2
Direct
0.1742 0.3258 0.0000 Nb
0.3258 0.8258 0.0000 Nb
0.6742 0.1742 0.0000 Nb
0.8258 0.6742 0.0000 Nb
0.1287 0.6287 0.5000 Ga
0.3713 0.1287 0.5000 Ga
0.6287 0.8713 0.5000 Ga
0.8713 0.3713 0.5000 Ga
0.0000 0.0000 0.5000 Mo
0.5000 0.5000 0.5000 Mo

---

Nb2GaMo6 (GGA-PBE, optimized geometry); energy = -9.53 eV/atom; total magnetization = 0.000 μB/cell; N(E_F) = 7.16 states/eV/f.u.; calculated formation energy = 263.8 meV per atom
1.0
4.5896 0.0000 0.0000
0.0023 5.3944 0.0000
2.2850 0.6648 6.3508
Nb Ga Mo
2 1 6
Direct
0.1025 0.4735 0.2955 Nb
0.8975 0.5265 0.7045 Nb
0.0000 0.0000 0.5000 Ga
0.2961 0.3373 0.9083 Mo
0.3009 0.8537 0.8971 Mo
0.4960 0.7470 0.5079 Mo
0.5040 0.2530 0.4921 Mo
0.6991 0.1463 0.1029 Mo
0.7039 0.6627 0.0917 Mo

---

Nb2Ga2Mo (GGA-PBE, optimized geometry); energy = -7.07 eV/atom; total magnetization = 0.000 μB/cell; energy above the most stable polymorph in this dataset = 614 meV per atom; N(E_F) = 4.97 states/eV/f.u.; calculated formation energy = 336.2 meV per atom
1.0
7.1158 0.0000 0.0000
0.0000 7.1158 0.0000
0.0000 0.0000 3.4693
Nb Ga Mo
4 4 2
Direct
0.1419 0.3581 0.0000 Nb
0.3581 0.8581 0.0000 Nb
0.6419 0.1419 0.0000 Nb
0.8581 0.6419 0.0000 Nb
0.1614 0.6614 0.5000 Ga
0.3386 0.1614 0.5000 Ga
0.6614 0.8386 0.5000 Ga
0.8386 0.3386 0.5000 Ga
0.0000 0.0000 0.0000 Mo
0.5000 0.5000 0.0000 Mo

---

Nb3GaMo (GGA-PBE, optimized geometry); energy = -7.64 eV/atom; total magnetization = 0.000 μB/cell; energy above the most stable polymorph in this dataset = 1333 meV per atom; N(E_F) = 3.24 states/eV/f.u.; calculated formation energy = 1171.9 meV per atom
1.0
4.8359 0.0000 0.0000
0.0000 4.8359 0.0000
0.0000 0.0000 4.8359
Nb Ga Mo
3 1 1
Direct
0.0000 0.0000 0.5000 Nb
0.0000 0.5000 0.0000 Nb
0.5000 0.0000 0.0000 Nb
0.5000 0.5000 0.5000 Ga
0.0000 0.0000 0.0000 Mo

---

Nb6GaMo2 (GGA-PBE, optimized geometry); energy = -9.57 eV/atom; total magnetization = 0.000 μB/cell; N(E_F) = 6.44 states/eV/f.u.; calculated formation energy = -117.3 meV per atom
1.0
4.5910 0.0000 0.0000
-2.2955 3.9759 0.0000
0.0000 0.0000 8.5856
Nb Ga Mo
6 1 2
Direct
0.0000 0.0000 0.1740 Nb
0.0000 0.0000 0.8260 Nb
0.3333 0.6667 0.0507 Nb
0.3333 0.6667 0.3845 Nb
0.6667 0.3333 0.6155 Nb
0.6667 0.3333 0.9493 Nb
0.0000 0.0000 0.5000 Ga
0.3333 0.6667 0.7123 Mo
0.6667 0.3333 0.2877 Mo

---

Nb2GaMo2 (GGA-PBE, optimized geometry); energy = -8.50 eV/atom; total magnetization = 0.000 μB/cell; energy above the most stable polymorph in this dataset = 0 meV per atom; N(E_F) = 6.22 states/eV/f.u.; calculated formation energy = 465.4 meV per atom
1.0
7.4596 0.0000 0.0000
0.0000 7.4596 0.0000
0.0000 0.0000 3.2508
Nb Ga Mo
4 2 4
Direct
0.1465 0.3535 0.0000 Nb
0.3535 0.8535 0.0000 Nb
0.6465 0.1465 0.0000 Nb
0.8535 0.6465 0.0000 Nb
0.0000 0.0000 0.0000 Ga
0.5000 0.5000 0.0000 Ga
0.1550 0.6550 0.5000 Mo
0.3450 0.1550 0.5000 Mo
0.6550 0.8450 0.5000 Mo
0.8450 0.3450 0.5000 Mo

---

Nb3GaMo (GGA-PBE, optimized geometry); energy = -8.97 eV/atom; total magnetization = 0.000 μB/cell; energy above the most stable polymorph in this dataset = 0 meV per atom; N(E_F) = 3.23 states/eV/f.u.; calculated formation energy = -161.5 meV per atom
1.0
-2.3769 7.5732 4.7638
2.3769 -7.5732 4.7638
2.3769 7.5732 -4.7638
Nb Ga Mo
12 4 4
Direct
0.0258 0.8723 0.1535 Nb
0.1783 0.1274 0.0508 Nb
0.2189 0.8723 0.3465 Nb
0.2763 0.6222 0.6541 Nb
0.4234 0.8726 0.5508 Nb
0.4681 0.6222 0.8459 Nb
0.5319 0.3778 0.1541 Nb
0.5766 0.1274 0.4492 Nb
0.7237 0.3778 0.3459 Nb
0.7811 0.1277 0.6535 Nb
0.8217 0.8726 0.9492 Nb
0.9742 0.1277 0.8465 Nb
0.1251 0.3751 0.7500 Ga
0.3752 0.1252 0.2500 Ga
0.6248 0.8748 0.7500 Ga
0.8749 0.6249 0.2500 Ga
0.0693 0.6236 0.4457 Mo
0.3221 0.3764 0.9457 Mo
0.6779 0.6236 0.0543 Mo
0.9307 0.3764 0.5543 Mo

---

Nb6GaMo5 (GGA-PBE, optimized geometry); energy = -9.95 eV/atom; total magnetization = 0.000 μB/cell; N(E_F) = 8.53 states/eV/f.u.; calculated formation energy = -147.6 meV per atom
1.0
-2.2779 3.2535 6.8690
2.2779 -3.2535 6.8690
2.2779 3.2535 -6.8690
Nb Ga Mo
6 1 5
Direct
0.0787 0.3317 0.7471 Nb
0.2412 0.0000 0.2412 Nb
0.4154 0.6683 0.7471 Nb
0.5846 0.3317 0.2529 Nb
0.7588 0.0000 0.7588 Nb
0.9213 0.6683 0.2529 Nb
0.5000 0.5000 0.0000 Ga
0.0000 0.5000 0.5000 Mo
0.1684 0.1684 0.0000 Mo
0.3391 0.8391 0.5000 Mo
0.6609 0.1609 0.5000 Mo
0.8316 0.8316 0.0000 Mo

---

NbGa3Mo (GGA-PBE, optimized geometry); energy = -5.90 eV/atom; total magnetization = 0.000 μB/cell; energy above the most stable polymorph in this dataset = 0 meV per atom; N(E_F) = 2.45 states/eV/f.u.; calculated formation energy = 99.2 meV per atom
1.0
9.3878 0.0000 0.0000
0.0000 7.2397 0.0000
0.0000 0.0000 4.9209
Nb Ga Mo
4 12 4
Direct
0.0366 0.2500 0.0517 Nb
0.4634 0.7500 0.5517 Nb
0.5366 0.2500 0.4483 Nb
0.9634 0.7500 0.9483 Nb
0.1769 0.7500 0.3353 Ga
0.2171 0.5697 0.8430 Ga
0.2171 0.9303 0.8430 Ga
0.2829 0.0697 0.3430 Ga
0.2829 0.4303 0.3430 Ga
0.3231 0.2500 0.8353 Ga
0.6769 0.7500 0.1647 Ga
0.7171 0.5697 0.6570 Ga
0.7171 0.9303 0.6570 Ga
0.7829 0.0697 0.1570 Ga
0.7829 0.4303 0.1570 Ga
0.8231 0.2500 0.6647 Ga
0.0000 0.0000 0.5000 Mo
0.0000 0.5000 0.5000 Mo
0.5000 0.0000 0.0000 Mo
0.5000 0.5000 0.0000 Mo